LaTeAuS, optimized geometry, DFT PBE; spin magnetization = 0.00 μB per formula unit; energy relative to the elements, uncorrected = -1249 meV per atom; crystal system = trigonal
1.0
2.346 1.354 12.620
-2.346 1.354 12.620
0.000 -2.709 12.620
La Te Au S
2 2 2 2
direct
0.116 0.116 0.116 La
0.884 0.884 0.884 La
0.385 0.385 0.385 Te
0.615 0.615 0.615 Te
0.273 0.273 0.273 Au
0.727 0.727 0.727 Au
0.194 0.194 0.194 S
0.806 0.806 0.806 S